# Ce2TlAg

Crystalline Ce2TlAg at its relaxed geometry (PBE, the Alexandria database).

density of states at the Fermi level: 10.73 states/eV per cell
energy of formation: -0.153 eV/atom
energy relative to the lowest polymorph listed for this composition: 0.00 eV/f.u.
VASP energy: -4.424 eV/atom
magnetic moment: 1.8 μB per formula unit

Geometry as POSCAR:
```
Ce2TlAg
1.0
4.616 0.000 0.000
0.000 4.616 0.000
0.000 0.000 4.778
Ce Tl Ag
2 1 1
Cartesian
0.000 2.308 0.000
2.308 0.000 0.000
0.000 0.000 2.389
2.308 2.308 2.389
```